a | # Na2SbHAu, optimized geometry, DFT PBE-GGA
# ρ = 6070 kg/m³
# N(E_F) = 0.4427 states/eV per atom
# total magnetization = 0.00 μB/f.u.
# crystal system = tetragonal
data_Na2SbHAu
_symmetry_space_group_name_H-M 'P 4/m m m'
_symmetry_Int_Tables_number 123
_symmetry_space_group_name_Hall '-P 4 2'
_cell_length_a 5.271
_cell_length_b 5.271
_cell_length_c 3.601
_cell_angle_alpha 90.00
_cell_angle_beta 90.00
_cell_angle_gamma 90.00
loop_
_atom_site_label
_atom_site_type_symbol
_atom_site_fract_x
_atom_site_fract_y
_atom_site_fract_z
Na1 Na 0.000 0.500 0.000
Sb1 Sb 0.000 0.000 0.500
H1 H 0.500 0.500 0.000
Au1 Au 0.500 0.500 0.500

b | # Na2SbHAu, optimized geometry, DFT PBE-GGA
# ρ = 6374 kg/m³
# N(E_F) = 0.2872 states/eV per atom
# total magnetization = 0.00 μB/f.u.
# crystal system = tetragonal
data_Na2SbHAu
_symmetry_space_group_name_H-M 'P 4/m m m'
_symmetry_Int_Tables_number 123
_symmetry_space_group_name_Hall '-P 4 2'
_cell_length_a 4.647
_cell_length_b 4.647
_cell_length_c 4.411
_cell_angle_alpha 90.00
_cell_angle_beta 90.00
_cell_angle_gamma 90.00
loop_
_atom_site_label
_atom_site_type_symbol
_atom_site_fract_x
_atom_site_fract_y
_atom_site_fract_z
Na1 Na 0.000 0.500 0.000
Sb1 Sb 0.000 0.000 0.500
H1 H 0.000 0.000 0.000
Au1 Au 0.500 0.500 0.500

Verdict on stability: a comes out on top.

a | # Na2SnHAu, optimized geometry, DFT PBE-GGA
# ρ = 6200 kg/m³
# N(E_F) = 0.5954 states/eV per atom
# total magnetization = 0.00 μB/f.u.
# crystal system = tetragonal
data_Na2SnHAu
_symmetry_space_group_name_H-M 'P 4/m m m'
_symmetry_Int_Tables_number 123
_symmetry_space_group_name_Hall '-P 4 2'
_cell_length_a 5.118
_cell_length_b 5.118
_cell_length_c 3.709
_cell_angle_alpha 90.00
_cell_angle_beta 90.00
_cell_angle_gamma 90.00
loop_
_atom_site_label
_atom_site_type_symbol
_atom_site_fract_x
_atom_site_fract_y
_atom_site_fract_z
Na1 Na 0.000 0.500 0.000
Sn1 Sn 0.000 0.000 0.500
H1 H 0.500 0.500 0.000
Au1 Au 0.500 0.500 0.500

b | # Na2SnHAu, optimized geometry, DFT PBE-GGA
# ρ = 6405 kg/m³
# N(E_F) = 0.3693 states/eV per atom
# total magnetization = 0.00 μB/f.u.
# crystal system = tetragonal
data_Na2SnHAu
_symmetry_space_group_name_H-M 'P 4/m m m'
_symmetry_Int_Tables_number 123
_symmetry_space_group_name_Hall '-P 4 2'
_cell_length_a 4.465
_cell_length_b 4.465
_cell_length_c 4.718
_cell_angle_alpha 90.00
_cell_angle_beta 90.00
_cell_angle_gamma 90.00
loop_
_atom_site_label
_atom_site_type_symbol
_atom_site_fract_x
_atom_site_fract_y
_atom_site_fract_z
Na1 Na 0.000 0.500 0.000
Sn1 Sn 0.000 0.000 0.500
H1 H 0.000 0.000 0.000
Au1 Au 0.500 0.500 0.500

Verdict on stability: a comes out on top.

a | # NbHAu, optimized geometry, DFT PBE-GGA
# ρ = 12009 kg/m³
# N(E_F) = 0.9085 states/eV per atom
# total magnetization = 0.00 μB/f.u.
# crystal system = hexagonal
data_NbHAu
_symmetry_space_group_name_H-M 'P -6 m 2'
_symmetry_Int_Tables_number 187
_symmetry_space_group_name_Hall 'P -6 2'
_cell_length_a 3.2503
_cell_length_b 3.2503
_cell_length_c 4.3963
_cell_angle_alpha 90.00
_cell_angle_beta 90.00
_cell_angle_gamma 120.00
loop_
_atom_site_label
_atom_site_type_symbol
_atom_site_fract_x
_atom_site_fract_y
_atom_site_fract_z
Nb1 Nb 0.0000 0.0000 0.0000
H1 H 0.3333 0.6667 0.0000
Au1 Au 0.6667 0.3333 0.5000

b | # NbHAu, optimized geometry, DFT PBE-GGA
# ρ = 12113 kg/m³
# N(E_F) = 0.2688 states/eV per atom
# total magnetization = 0.00 μB/f.u.
# crystal system = tetragonal
data_NbHAu
_symmetry_space_group_name_H-M 'I 4/m m m'
_symmetry_Int_Tables_number 139
_symmetry_space_group_name_Hall '-I 4 2'
_cell_length_a 3.073
_cell_length_b 3.073
_cell_length_c 16.889
_cell_angle_alpha 90.00
_cell_angle_beta 90.00
_cell_angle_gamma 90.00
loop_
_atom_site_label
_atom_site_type_symbol
_atom_site_fract_x
_atom_site_fract_y
_atom_site_fract_z
Nb1 Nb 0.000 0.000 0.083
H1 H 0.000 0.500 0.000
Au1 Au 0.000 0.000 0.309

Verdict on stability: b comes out on top.

a | # Nb2HPdAu, optimized geometry, DFT PBE-GGA
# ρ = 11498 kg/m³
# N(E_F) = 0.5922 states/eV per atom
# total magnetization = 0.00 μB/f.u.
# crystal system = tetragonal
data_Nb2HPdAu
_symmetry_space_group_name_H-M 'P 4/m m m'
_symmetry_Int_Tables_number 123
_symmetry_space_group_name_Hall '-P 4 2'
_cell_length_a 4.109
_cell_length_b 4.109
_cell_length_c 4.192
_cell_angle_alpha 90.00
_cell_angle_beta 90.00
_cell_angle_gamma 90.00
loop_
_atom_site_label
_atom_site_type_symbol
_atom_site_fract_x
_atom_site_fract_y
_atom_site_fract_z
Nb1 Nb 0.000 0.500 0.000
H1 H 0.000 0.000 0.000
Pd1 Pd 0.000 0.000 0.500
Au1 Au 0.500 0.500 0.500

b | # Nb2HPdAu, optimized geometry, DFT PBE-GGA
# ρ = 11456 kg/m³
# N(E_F) = 0.6349 states/eV per atom
# total magnetization = 0.00 μB/f.u.
# crystal system = tetragonal
data_Nb2HPdAu
_symmetry_space_group_name_H-M 'P 4/m m m'
_symmetry_Int_Tables_number 123
_symmetry_space_group_name_Hall '-P 4 2'
_cell_length_a 4.077
_cell_length_b 4.077
_cell_length_c 4.275
_cell_angle_alpha 90.00
_cell_angle_beta 90.00
_cell_angle_gamma 90.00
loop_
_atom_site_label
_atom_site_type_symbol
_atom_site_fract_x
_atom_site_fract_y
_atom_site_fract_z
Nb1 Nb 0.000 0.500 0.000
H1 H 0.000 0.000 0.000
Pd1 Pd 0.500 0.500 0.500
Au1 Au 0.000 0.000 0.500

Verdict on stability: a comes out on top.

a | # TaNb2HAu, optimized geometry, DFT PBE-GGA
# ρ = 12662 kg/m³
# N(E_F) = 0.7819 states/eV per atom
# total magnetization = 0.00 μB/f.u.
# crystal system = tetragonal
data_TaNb2HAu
_symmetry_space_group_name_H-M 'P 4/m m m'
_symmetry_Int_Tables_number 123
_symmetry_space_group_name_Hall '-P 4 2'
_cell_length_a 4.079
_cell_length_b 4.079
_cell_length_c 4.451
_cell_angle_alpha 90.00
_cell_angle_beta 90.00
_cell_angle_gamma 90.00
loop_
_atom_site_label
_atom_site_type_symbol
_atom_site_fract_x
_atom_site_fract_y
_atom_site_fract_z
Ta1 Ta 0.000 0.000 0.000
Nb1 Nb 0.000 0.500 0.500
H1 H 0.500 0.500 0.500
Au1 Au 0.500 0.500 0.000

b | # TaNb2HAu, optimized geometry, DFT PBE-GGA
# ρ = 12742 kg/m³
# N(E_F) = 1.0137 states/eV per atom
# total magnetization = 0.00 μB/f.u.
# crystal system = tetragonal
data_TaNb2HAu
_symmetry_space_group_name_H-M 'P 4/m m m'
_symmetry_Int_Tables_number 123
_symmetry_space_group_name_Hall '-P 4 2'
_cell_length_a 4.123
_cell_length_b 4.123
_cell_length_c 4.329
_cell_angle_alpha 90.00
_cell_angle_beta 90.00
_cell_angle_gamma 90.00
loop_
_atom_site_label
_atom_site_type_symbol
_atom_site_fract_x
_atom_site_fract_y
_atom_site_fract_z
Ta1 Ta 0.000 0.000 0.000
Nb1 Nb 0.000 0.500 0.500
H1 H 0.000 0.000 0.500
Au1 Au 0.500 0.500 0.000

Verdict on stability: b comes out on top.

a | # Nb2TcHAu, optimized geometry, DFT PBE-GGA
# ρ = 11458 kg/m³
# N(E_F) = 0.6692 states/eV per atom
# total magnetization = 0.00 μB/f.u.
# crystal system = tetragonal
data_Nb2TcHAu
_symmetry_space_group_name_H-M 'P 4/m m m'
_symmetry_Int_Tables_number 123
_symmetry_space_group_name_Hall '-P 4 2'
_cell_length_a 4.125
_cell_length_b 4.125
_cell_length_c 4.104
_cell_angle_alpha 90.00
_cell_angle_beta 90.00
_cell_angle_gamma 90.00
loop_
_atom_site_label
_atom_site_type_symbol
_atom_site_fract_x
_atom_site_fract_y
_atom_site_fract_z
Nb1 Nb 0.000 0.500 0.000
Tc1 Tc 0.000 0.000 0.500
H1 H 0.500 0.500 0.000
Au1 Au 0.500 0.500 0.500

b | # Nb2TcHAu, optimized geometry, DFT PBE-GGA
# ρ = 11526 kg/m³
# N(E_F) = 0.5411 states/eV per atom
# total magnetization = 0.00 μB/f.u.
# crystal system = tetragonal
data_Nb2TcHAu
_symmetry_space_group_name_H-M 'P 4/m m m'
_symmetry_Int_Tables_number 123
_symmetry_space_group_name_Hall '-P 4 2'
_cell_length_a 4.150
_cell_length_b 4.150
_cell_length_c 4.030
_cell_angle_alpha 90.00
_cell_angle_beta 90.00
_cell_angle_gamma 90.00
loop_
_atom_site_label
_atom_site_type_symbol
_atom_site_fract_x
_atom_site_fract_y
_atom_site_fract_z
Nb1 Nb 0.000 0.500 0.000
Tc1 Tc 0.000 0.000 0.500
H1 H 0.000 0.000 0.000
Au1 Au 0.500 0.500 0.500

Verdict on stability: b comes out on top.